Density functional theory data (PBE) for a relaxed Tl3Cd2TcO6 crystal.

Lattice parameters (Å, degrees): 5.931 5.931 6.551 97.67 97.67 120.34
Sites, in units of the cell vectors:
Tc 0.000 0.000 0.000
Cd 0.665 0.335 0.000
Cd 0.335 0.665 0.000
O 0.936 0.658 0.834
O 0.214 0.214 0.802
O 0.786 0.786 0.198
O 0.064 0.342 0.166
O 0.342 0.064 0.166
O 0.658 0.936 0.834
Tl 0.169 0.831 0.500
Tl 0.831 0.169 0.500
Tl 0.500 0.500 0.500

spin magnetization	1.97	μB/cell
uncorrected formation energy	-0.908	eV/atom